Record 1
PuZnBiPb: relaxed, PBE.

Computed properties:
DOS at the Fermi energy: 60.99 states/eV/cell
Spin magnetization: 23.63 μB/cell
Formation enthalpy at 0 K: 12 meV/atom

a = 7.649 Å, b = 7.649 Å, c = 7.649 Å
α = 90.00°, β = 90.00°, γ = 90.00°
Space group F-43m (No. 216)
One atom of each set of equivalent atoms:
Pu 0.000 0.000 0.000 [4 per cell]
Zn 0.250 0.250 0.250 [4 per cell]
Bi 0.250 0.250 0.750 [4 per cell]
Pb 0.000 0.000 0.500 [4 per cell]

---

Record 2
RbBi3Pb3: relaxed, PBE.

Computed properties:
DOS at the Fermi energy: 11.78 states/eV/cell
Spin magnetization: 0.00 μB/cell
Formation enthalpy at 0 K: 41 meV/atom
Energy above the most stable polymorph in this dataset: 96 meV/atom

a = 8.850 Å, b = 8.850 Å, c = 8.850 Å
α = 90.00°, β = 90.00°, γ = 90.00°
Space group Pm-3n (No. 223)
One atom of each set of equivalent atoms:
Rb 0.000 0.000 0.000 [2 per cell]
Bi 0.000 0.250 0.500 [6 per cell]
Pb 0.000 0.500 0.250 [6 per cell]

---

Record 3
RbBi3Pb: relaxed, PBE.

Computed properties:
DOS at the Fermi energy: 3.22 states/eV/cell
Spin magnetization: 0.00 μB/cell
Formation enthalpy at 0 K: 1122 meV/atom
Energy above the most stable polymorph in this dataset: 1198 meV/atom

a = 6.068 Å, b = 6.068 Å, c = 6.068 Å
α = 90.00°, β = 90.00°, γ = 90.00°
Space group Pm-3m (No. 221)
One atom of each set of equivalent atoms:
Rb 0.000 0.000 0.000 [1 per cell]
Bi 0.000 0.000 0.500 [3 per cell]
Pb 0.500 0.500 0.500 [1 per cell]

---

Record 4
Rb3Bi3Pb: relaxed, PBE.

Computed properties:
DOS at the Fermi energy: 11.12 states/eV/cell
Spin magnetization: 0.00 μB/cell
Formation enthalpy at 0 K: -305 meV/atom

a = 13.473 Å, b = 5.824 Å, c = 16.988 Å
α = 90.00°, β = 109.96°, γ = 90.00°
Space group C2/m (No. 12)
One atom of each set of equivalent atoms:
Rb 0.019 0.000 0.374 [4 per cell]
Rb 0.098 0.000 0.920 [4 per cell]
Rb 0.236 0.000 0.222 [4 per cell]
Bi 0.037 0.500 0.230 [4 per cell]
Bi 0.104 0.500 0.074 [4 per cell]
Bi 0.126 0.500 0.544 [4 per cell]
Pb 0.236 0.500 0.405 [4 per cell]